1.
This record from Alexandria describes a relaxed structure of Ac2LaErO6. The functional is PBE.

abc: 6.101 6.310 8.879
angles: 90.00 90.31 90.00
Fractional positions:
1 Ac 0.983 0.048 0.748
2 Ac 0.017 0.952 0.252
3 Ac 0.517 0.548 0.752
4 Ac 0.483 0.452 0.248
5 O 0.129 0.438 0.761
6 O 0.188 0.205 0.074
7 O 0.688 0.295 0.574
8 O 0.312 0.705 0.426
9 O 0.371 0.938 0.739
10 O 0.203 0.189 0.434
11 O 0.797 0.811 0.566
12 O 0.812 0.795 0.926
13 O 0.871 0.562 0.239
14 O 0.703 0.311 0.934
15 O 0.297 0.689 0.066
16 O 0.629 0.062 0.261
17 Er 0.500 0.000 0.500
18 Er 0.000 0.500 0.000
19 La 0.500 0.000 0.000
20 La 0.000 0.500 0.500

## Properties
E_form (uncorrected): -3.40 eV/atom
Energy: -162.9 eV for the cell shown
Space group: No. 14
Crystal system: monoclinic
DOS(E_F): 0.00 states/eV/atom


2.
This record from Alexandria describes a relaxed structure of Ac2DyPu. The functional is PBE.

abc: 3.704 3.704 13.129
angles: 81.89 81.89 60.00
Fractional positions:
1 Ac 0.911 0.911 0.266
2 Ac 0.089 0.089 0.734
3 Pu 0.000 0.000 0.000
4 Dy 0.500 0.500 0.500

## Properties
Energy: -25.8 eV for the cell shown
Space group: No. 166
Crystal system: trigonal
DOS(E_F): 3.22 states/eV/atom


3.
This record from Alexandria describes a relaxed structure of Si2GeW2. The functional is PBE.

abc: 6.789 6.789 3.285
angles: 90.00 90.00 90.00
Fractional positions:
1 Si 0.370 0.870 0.000
2 Si 0.130 0.370 0.000
3 Si 0.870 0.630 0.000
4 Si 0.630 0.130 0.000
5 W 0.163 0.663 0.500
6 W 0.837 0.337 0.500
7 W 0.663 0.837 0.500
8 W 0.337 0.163 0.500
9 Ge 0.000 0.000 0.000
10 Ge 0.500 0.500 0.000

## Properties
E_form (uncorrected): 0.28 eV/atom
Energy: -80.0 eV for the cell shown
Space group: No. 127
Crystal system: tetragonal
DOS(E_F): 0.41 states/eV/atom


4.
This record from Alexandria describes a relaxed structure of NaTaBr4. The functional is PBE.

abc: 7.049 7.723 7.723
angles: 102.71 103.36 103.36
Fractional positions:
1 Br 0.603 0.214 0.209
2 Br 0.897 0.791 0.786
3 Br 0.397 0.786 0.791
4 Br 0.501 0.333 0.662
5 Br 0.499 0.667 0.338
6 Br 0.999 0.338 0.667
7 Br 0.103 0.209 0.214
8 Br 0.001 0.662 0.333
9 Na 0.750 0.117 0.883
10 Na 0.250 0.883 0.117
11 Ta 0.750 0.500 0.500
12 Ta 0.250 0.500 0.500

## Properties
E_form (uncorrected): -0.89 eV/atom
Energy: -50.4 eV for the cell shown
Space group: No. 15
Crystal system: monoclinic
DOS(E_F): 0.43 states/eV/atom


5.
This record from Alexandria describes a relaxed structure of Lu2NiHg. The functional is PBE.

abc: 3.391 3.391 7.338
angles: 90.00 90.00 90.00
Fractional positions:
1 Lu 0.000 0.000 0.784
2 Lu 0.000 0.000 0.216
3 Hg 0.500 0.500 0.500
4 Ni 0.500 0.500 0.000

## Properties
Energy: -17.1 eV for the cell shown
Space group: No. 123
Crystal system: tetragonal
DOS(E_F): 0.54 states/eV/atom


6.
This record from Alexandria describes a relaxed structure of Na5HgPb. The functional is PBE.

abc: 6.074 6.074 12.021
angles: 99.81 99.81 91.12
Fractional positions:
1 Na 0.969 0.449 0.855
2 Na 0.092 0.908 0.750
3 Na 0.908 0.092 0.250
4 Na 0.232 0.505 0.465
5 Na 0.768 0.495 0.535
6 Na 0.495 0.768 0.035
7 Na 0.551 0.031 0.645
8 Na 0.505 0.232 0.965
9 Na 0.031 0.551 0.145
10 Na 0.449 0.969 0.355
11 Hg 0.458 0.542 0.750
12 Hg 0.542 0.458 0.250
13 Pb 0.000 0.000 0.000
14 Pb 0.000 0.000 0.500

## Properties
Energy: -22.8 eV for the cell shown
Space group: No. 15
Crystal system: monoclinic
DOS(E_F): 0.44 states/eV/atom